Computed, not measured: a geometry-optimized GaMo3CN structure at the PBE-GGA level of DFT.

Lattice parameters (Å, degrees): 3.1092 3.1092 17.9607 90.00 90.00 120.00
Sites, in units of the cell vectors:
C 0.3333 0.6667 0.0723
C 0.6667 0.3333 0.9277
Ga 0.0000 0.0000 0.2531
Ga 0.0000 0.0000 0.7469
Mo 0.0000 0.0000 0.0000
Mo 0.6667 0.3333 0.1329
Mo 0.6667 0.3333 0.3718
Mo 0.0000 0.0000 0.5000
Mo 0.3333 0.6667 0.6282
Mo 0.3333 0.6667 0.8671
N 0.3333 0.6667 0.4312
N 0.6667 0.3333 0.5688

Uncorrected energy = -8.869 eV/atom
Size of the total moment = 0.0 μB per formula unit